Record 1
GdThCdRu | PBE-GGA | optimized geometry

a = 5.1610 Å, b = 5.1610 Å, c = 5.1610 Å
α = 60.00°, β = 60.00°, γ = 60.00°
Fractional coordinates of all 4 atoms:
Gd 0.0000 0.0000 0.0000
Th 0.5000 0.5000 0.5000
Cd 0.7500 0.7500 0.7500
Ru 0.2500 0.2500 0.2500

Computed properties:
space-group type	F-43m (216)
VASP energy	-0.298	Ha/atom

***

Record 2
Cs2CuF8 | PBE-GGA | optimized geometry

a = 6.4598 Å, b = 6.4598 Å, c = 7.3871 Å
α = 119.44°, β = 119.44°, γ = 57.07°
Fractional coordinates of all 11 atoms:
Cs 0.2411 0.2411 0.2295
Cs 0.7589 0.7589 0.7705
Cu 0.0000 0.0000 0.5000
F 0.1571 0.7333 0.6159
F 0.1827 0.1827 0.7609
F 0.2667 0.8429 0.3841
F 0.4915 0.4915 0.8950
F 0.5085 0.5085 0.1050
F 0.7333 0.1571 0.6159
F 0.8173 0.8173 0.2391
F 0.8429 0.2667 0.3841

Computed properties:
formation energy (no corrections)	-1616	meV/atom
space-group type	C2/m (12)

***

Record 3
Dy12Te3H5 | PBE-GGA | optimized geometry

a = 13.4661 Å, b = 13.4661 Å, c = 13.4661 Å
α = 109.47°, β = 109.47°, γ = 109.47°
Fractional coordinates of all 80 atoms:
Dy 0.0106 0.2038 0.1087
Dy 0.0106 0.3068 0.9018
Dy 0.0951 0.7038 0.6932
Dy 0.0951 0.8913 0.4018
Dy 0.0982 0.6087 0.4049
Dy 0.0982 0.9894 0.6932
Dy 0.1087 0.0106 0.2038
Dy 0.1087 0.5982 0.9049
Dy 0.1932 0.2038 0.5951
Dy 0.1932 0.4894 0.5982
Dy 0.2038 0.1087 0.0106
Dy 0.2038 0.5951 0.1932
Dy 0.2962 0.3068 0.9049
Dy 0.2962 0.4894 0.3913
Dy 0.3068 0.9018 0.0106
Dy 0.3068 0.9049 0.2962
Dy 0.3913 0.2962 0.4894
Dy 0.3913 0.5951 0.9018
Dy 0.4018 0.0951 0.8913
Dy 0.4018 0.8068 0.5106
Dy 0.4049 0.0982 0.6087
Dy 0.4049 0.8068 0.7962
Dy 0.4894 0.3913 0.2962
Dy 0.4894 0.5982 0.1932
Dy 0.5106 0.4018 0.8068
Dy 0.5106 0.6087 0.7038
Dy 0.5951 0.1932 0.2038
Dy 0.5951 0.9018 0.3913
Dy 0.5982 0.1932 0.4894
Dy 0.5982 0.9049 0.1087
Dy 0.6087 0.4049 0.0982
Dy 0.6087 0.7038 0.5106
Dy 0.6932 0.0951 0.7038
Dy 0.6932 0.0982 0.9894
Dy 0.7038 0.5106 0.6087
Dy 0.7038 0.6932 0.0951
Dy 0.7962 0.4049 0.8068
Dy 0.7962 0.8913 0.9894
Dy 0.8068 0.5106 0.4018
Dy 0.8068 0.7962 0.4049
Dy 0.8913 0.4018 0.0951
Dy 0.8913 0.9894 0.7962
Dy 0.9018 0.0106 0.3068
Dy 0.9018 0.3913 0.5951
Dy 0.9049 0.1087 0.5982
Dy 0.9049 0.2962 0.3068
Dy 0.9894 0.6932 0.0982
Dy 0.9894 0.7962 0.8913
Te 0.1250 0.2500 0.3750
Te 0.1250 0.3750 0.7500
Te 0.2500 0.3750 0.1250
Te 0.2500 0.8750 0.6250
Te 0.3750 0.1250 0.2500
Te 0.3750 0.7500 0.1250
Te 0.6250 0.2500 0.8750
Te 0.6250 0.8750 0.7500
Te 0.7500 0.1250 0.3750
Te 0.7500 0.6250 0.8750
Te 0.8750 0.6250 0.2500
Te 0.8750 0.7500 0.6250
H 0.0000 0.0000 0.0000
H 0.0000 0.0000 0.5000
H 0.0000 0.5000 0.0000
H 0.0000 0.5000 0.5000
H 0.1250 0.7500 0.8750
H 0.1250 0.8750 0.2500
H 0.2500 0.1250 0.8750
H 0.2500 0.6250 0.3750
H 0.3750 0.2500 0.6250
H 0.3750 0.6250 0.7500
H 0.5000 0.0000 0.0000
H 0.5000 0.0000 0.5000
H 0.5000 0.5000 0.0000
H 0.5000 0.5000 0.5000
H 0.6250 0.3750 0.2500
H 0.6250 0.7500 0.3750
H 0.7500 0.3750 0.6250
H 0.7500 0.8750 0.1250
H 0.8750 0.1250 0.7500
H 0.8750 0.2500 0.1250

Computed properties:
space-group type	Ia-3d (230)
VASP energy	-0.166	Ha/atom

***

Record 4
NdDyAgRu | PBE-GGA | optimized geometry

a = 3.4692 Å, b = 3.4692 Å, c = 7.6512 Å
α = 90.00°, β = 90.00°, γ = 90.00°
Fractional coordinates of all 4 atoms:
Nd 0.0000 0.0000 0.0000
Dy 0.0000 0.0000 0.5541
Ag 0.5000 0.5000 0.2938
Ru 0.5000 0.5000 0.7663

Computed properties:
space-group type	P4mm (99)
ΔE to the lowest computed polymorph	0	meV/atom